Record 1
DFT (PBE) results for crystalline SmInIrAu at its relaxed geometry.

Calculated values
DFT formation energy, eV/atom: -0.441
N(E_F), states/eV/f.u.: 3.0
ρ, kg/m³: 13060
Final energy, eV/atom: -5.340

a b c (Å): 4.9002 4.9002 4.9002
angles (deg): 60.00 60.00 60.00
Closest atoms and distances in Å follow each position.
Fractional positions:
In 0.7500 0.7500 0.7500  4 Ir 3.00, 4 Au 3.00
Au 0.0000 0.0000 0.0000  4 In 3.00, 4 Sm 3.00
Ir 0.5000 0.5000 0.5000  4 In 3.00, 4 Sm 3.00
Sm 0.2500 0.2500 0.2500  4 Au 3.00, 4 Ir 3.00

---

Record 2
DFT (PBE) results for crystalline Li2TaIr at its relaxed geometry.

Calculated values
DFT formation energy, eV/atom: 0.012
N(E_F), states/eV/f.u.: 2.1
E above lowest polymorph, meV/atom: 173
ρ, kg/m³: 9680
Final energy, eV/atom: -6.123

a b c (Å): 2.7728 2.7728 9.5605
angles (deg): 90.00 90.00 115.41
Closest atoms and distances in Å follow each position.
Fractional positions:
Ta 0.0000 0.0000 0.5182  2 Ir 2.69, 6 Ta 2.77-2.96, 2 Li 2.94
Li 0.5000 0.5000 0.2529  8 Li 2.77-3.03, 2 Ta 2.94
Ir 0.5000 0.5000 0.7528  2 Li 2.60, 2 Ta 2.69, 4 Ir 2.77
Li 0.0000 0.0000 0.9760  2 Ir 2.60, 4 Li 2.77

---

Record 3
DFT (PBE) results for crystalline TbThCuRu at its relaxed geometry.

Calculated values
DFT formation energy, eV/atom: -0.278
N(E_F), states/eV/f.u.: 4.2
ρ, kg/m³: 10621
Final energy, eV/atom: -6.634

a b c (Å): 4.9710 4.9710 4.9710
angles (deg): 60.00 60.00 60.00
Closest atoms and distances in Å follow each position.
Fractional positions:
Tb 0.0000 0.0000 0.0000  4 Cu 3.04, 4 Ru 3.04
Cu 0.2500 0.2500 0.2500  4 Th 3.04, 4 Tb 3.04
Th 0.5000 0.5000 0.5000  4 Ru 3.04, 4 Cu 3.04
Ru 0.7500 0.7500 0.7500  4 Th 3.04, 4 Tb 3.04

---

Record 4
DFT (PBE) results for crystalline MoIrAu2 at its relaxed geometry.

Calculated values
DFT formation energy, eV/atom: 0.445
N(E_F), states/eV/f.u.: 4.8
E above lowest polymorph, meV/atom: 433
ρ, kg/m³: 17010
Final energy, eV/atom: -6.117

a b c (Å): 2.7502 2.7502 9.7487
angles (deg): 90.00 90.00 115.44
Closest atoms and distances in Å follow each position.
Fractional positions:
Mo 0.5000 0.5000 0.7500  6 Mo 2.75-2.94, 4 Au 2.85
Au 0.0000 0.0000 0.0002  6 Au 2.75-2.94, 2 Ir 2.84, 2 Mo 2.85
Ir 0.5000 0.5000 0.2500  6 Ir 2.75-2.94, 4 Au 2.84
Au 0.0000 0.0000 0.4998  6 Au 2.75-2.94, 2 Ir 2.84, 2 Mo 2.85

---

Record 5
DFT (PBE) results for crystalline Pr2U2Te2S5 at its relaxed geometry.

Calculated values
N(E_F), states/eV/f.u.: 16.2
E_form (uncorrected), eV per atom: -1.38
ρ, kg/m³: 5508
Final energy, eV/atom: -6.746

a b c (Å): 5.1590 5.1590 13.7825
angles (deg): 100.79 100.79 90.00
Closest atoms and distances in Å follow each position.
Fractional positions:
Pr 0.6681 0.6681 0.3361  4 S 2.98, 1 Te 3.18
U 0.0964 0.0964 0.1928  5 S 2.56-2.61
Te 0.2122 0.2122 0.4243  1 U 3.08, 1 Pr 3.18
U 0.9036 0.9036 0.8072  5 S 2.56-2.61
S 0.0000 0.0000 0.0000  2 U 2.56
S 0.6118 0.1118 0.2235  2 U 2.61
S 0.1118 0.6118 0.2235  2 U 2.61
S 0.8882 0.3882 0.7765  2 U 2.61
Te 0.7878 0.7878 0.5757  1 U 3.08, 1 Pr 3.18
Pr 0.3319 0.3319 0.6639  4 S 2.98, 1 Te 3.18
S 0.3882 0.8882 0.7765  2 U 2.61

---

Record 6
DFT (PBE) results for crystalline K2NdDyS4 at its relaxed geometry.

Calculated values
N(E_F), states/eV/f.u.: 0.0
E_form (uncorrected), eV per atom: -1.87
ρ, kg/m³: 3914
Final energy, eV/atom: -5.375

a b c (Å): 4.1244 7.1464 7.7610
angles (deg): 107.86 90.00 90.00
Closest atoms and distances in Å follow each position.
Fractional positions:
S 0.0000 0.2731 0.7971  2 Dy 2.79, 1 Nd 2.86
S 0.5000 0.2430 0.2061  1 Dy 2.78, 2 Nd 2.85
K 0.0000 0.5000 0.5000  6 S 3.20
S 0.5000 0.7570 0.7939  1 Dy 2.78, 2 Nd 2.85
Dy 0.5000 0.5000 0.0000  6 S 2.78-2.79
S 0.0000 0.7269 0.2029  2 Dy 2.79, 1 Nd 2.86
Nd 0.0000 0.0000 0.0000  6 S 2.85-2.86
K 0.5000 0.0000 0.5000  6 S 3.26

---

Record 7
DFT (PBE) results for crystalline La2DyCo9 at its relaxed geometry.

Calculated values
DFT formation energy, eV/atom: -0.083
N(E_F), states/eV/f.u.: 17.9
ρ, kg/m³: 8886
Final energy, eV/atom: -6.617

a b c (Å): 4.9872 4.9872 8.8999
angles (deg): 73.73 73.73 60.00
Closest atoms and distances in Å follow each position.
Fractional positions:
Co 0.6675 0.6675 0.9975  6 Co 2.42-2.43
Co 0.4248 0.9184 0.2320  7 Co 2.42-2.67
Co 0.5752 0.0816 0.7680  7 Co 2.42-2.67
La 0.8603 0.8603 0.4191  12 Co 2.95-3.28, 3 La 3.19
Dy 0.0000 0.0000 0.0000  18 Co 2.88-3.17
Co 0.9184 0.4248 0.2320  7 Co 2.42-2.67
La 0.1397 0.1397 0.5809  12 Co 2.95-3.28, 3 La 3.19
Co 0.5752 0.5752 0.7680  7 Co 2.42-2.67
Co 0.5000 0.5000 0.5000  6 Co 2.67, 6 La 2.96
Co 0.0816 0.5752 0.7680  7 Co 2.42-2.67
Co 0.3325 0.3325 0.0025  6 Co 2.42-2.43
Co 0.4248 0.4248 0.2320  7 Co 2.42-2.67

---

Record 8
DFT (PBE) results for crystalline BaAgW at its relaxed geometry.

Calculated values
DFT formation energy, eV/atom: 1.097
N(E_F), states/eV/f.u.: 3.7
E above lowest polymorph, meV/atom: 78
ρ, kg/m³: 9342
Final energy, eV/atom: -4.812

a b c (Å): 6.5497 6.5497 6.5497
angles (deg): 153.38 142.58 46.51
Closest atoms and distances in Å follow each position.
Fractional positions:
W 0.6237 0.6237 0.0000  4 Ag 2.77, 2 W 3.02
Ba 0.3345 0.3345 0.0000  2 Ba 3.02
Ag 0.0418 0.0418 0.0000  4 W 2.77, 2 Ag 3.02